First-principles (PBE) data for crystalline LiPm2NpS5 at its relaxed geometry, as listed in Alexandria.

Structure (POSCAR):
```
LiPm2NpS5
1.0
-0.3628 1.9575 3.4346
0.1548 -8.1246 2.3524
11.8183 0.5035 0.9614
Pm S Np Li
4 10 2 2
direct
0.8909 0.7817 0.1863 Pm
0.1249 0.2497 0.2985 Pm
0.1091 0.2183 0.6863 Pm
0.8751 0.7503 0.7985 Pm
0.6344 0.2689 0.4999 S
0.2883 0.5766 0.6615 S
0.7117 0.4234 0.1615 S
0.6919 0.3839 0.8449 S
0.3081 0.6161 0.3449 S
0.4999 0.9998 0.7812 S
0.9524 0.9048 0.5699 S
0.3656 0.7311 0.9999 S
0.0476 0.0952 0.0699 S
0.5001 0.0002 0.2812 S
0.1994 0.3988 0.0039 Np
0.8006 0.6012 0.5039 Np
0.4832 0.9663 0.4778 Li
0.5168 0.0337 0.9778 Li
```

Output
Calculated total energy ... -6.694 eV/atom
Size of the total moment ... 3.93 μB per formula unit
Symmetry ... Cmc2_1, No. 36
Fermi-level density of states ... 1.16 states/eV/atom
Formation energy (no corrections) ... -1.69 eV/atom



First-principles (PBE) data for crystalline Li3PmNp2S6 at its relaxed geometry, as listed in Alexandria.

Structure (POSCAR):
```
Li3PmNp2S6
1.0
6.8622 -0.0012 0.0000
-3.4304 5.9432 0.0000
-1.1450 -1.9826 6.1626
S Li Np Pm
6 3 2 1
direct
0.4260 0.0843 0.2529 S
0.5740 0.9157 0.7471 S
0.0843 0.4260 0.2529 S
0.2560 0.2560 0.7442 S
0.9157 0.5740 0.7471 S
0.7440 0.7440 0.2558 S
0.1687 0.8313 0.5000 Li
0.8313 0.1687 0.5000 Li
0.5000 0.5000 0.5000 Li
0.6664 0.3336 0.0000 Np
0.3336 0.6664 0.0000 Np
0.0000 0.0000 0.0000 Pm
```

Output
Calculated total energy ... -6.592 eV/atom
Size of the total moment ... 8.00 μB per formula unit
Symmetry ... C2/m, No. 12
Fermi-level density of states ... 1.63 states/eV/atom
Formation energy (no corrections) ... -1.50 eV/atom



First-principles (PBE) data for crystalline Li2PmNpS4 at its relaxed geometry, as listed in Alexandria.

Structure (POSCAR):
```
Li2PmNpS4
1.0
-0.7272 -3.7886 1.0094
6.7839 -1.2678 0.1289
-2.0996 1.9845 5.9358
Li S Np Pm
2 4 1 1
direct
0.0000 0.5000 0.5000 Li
0.5000 0.0000 0.5000 Li
0.5000 0.7434 0.7432 S
0.0000 0.7449 0.2519 S
0.0000 0.2551 0.7481 S
0.5000 0.2566 0.2568 S
0.5000 0.5000 0.0000 Np
0.0000 0.0000 0.0000 Pm
```

Output
Calculated total energy ... -6.317 eV/atom
Size of the total moment ... 4.00 μB per formula unit
Symmetry ... P2/m, No. 10
Fermi-level density of states ... 1.16 states/eV/atom
Formation energy (no corrections) ... -1.56 eV/atom



First-principles (PBE) data for crystalline Li4Pm3NpS8 at its relaxed geometry, as listed in Alexandria.

Structure (POSCAR):
```
Li4Pm3NpS8
1.0
-4.2098 -0.4017 6.8155
6.4981 -1.5049 3.9250
-0.6084 6.4594 -4.7148
S Li Pm Np
8 4 3 1
direct
0.2493 0.7543 0.4986 S
0.2476 0.2432 0.4953 S
0.2493 0.7543 0.0052 S
0.7524 0.7568 0.5047 S
0.7507 0.2457 0.5014 S
0.7507 0.2457 0.9948 S
0.7559 0.7543 0.0052 S
0.2441 0.2457 0.9948 S
0.0000 0.0000 0.0000 Li
0.5000 0.0000 0.5000 Li
0.5000 0.0000 0.0000 Li
0.0000 0.0000 0.5000 Li
0.5000 0.5000 0.5000 Pm
0.0000 0.5000 0.5000 Pm
0.5000 0.5000 0.0000 Pm
0.0000 0.5000 0.0000 Np
```

Output
Calculated total energy ... -5.918 eV/atom
Size of the total moment ... 4.00 μB per formula unit
Symmetry ... R-3m, No. 166
Fermi-level density of states ... 0.43 states/eV/atom
Formation energy (no corrections) ... -1.68 eV/atom



First-principles (PBE) data for crystalline LiPmNpS3 at its relaxed geometry, as listed in Alexandria.

Structure (POSCAR):
```
LiPmNpS3
1.0
-0.9738 -3.3766 -1.6032
4.4432 1.8305 -6.5539
5.6437 -3.9617 4.9158
S Np Pm Li
6 2 2 2
direct
0.7500 0.4229 0.1683 S
0.7500 0.2140 0.4931 S
0.2500 0.7860 0.5069 S
0.2500 0.5771 0.8317 S
0.2500 0.0970 0.8645 S
0.7500 0.9030 0.1355 S
0.2500 0.6625 0.1667 Np
0.7500 0.3375 0.8333 Np
0.7500 0.8197 0.7823 Pm
0.2500 0.1803 0.2177 Pm
0.2500 0.0873 0.5816 Li
0.7500 0.9127 0.4184 Li
```

Output
Calculated total energy ... -6.875 eV/atom
Size of the total moment ... 4.48 μB per formula unit
Symmetry ... P2_1/m, No. 11
Fermi-level density of states ... 1.93 states/eV/atom
Formation energy (no corrections) ... -1.54 eV/atom



First-principles (PBE) data for crystalline LiPmNp2S4 at its relaxed geometry, as listed in Alexandria.

Structure (POSCAR):
```
LiPmNp2S4
1.0
3.9431 0.0000 0.0000
0.0000 6.8100 0.1043
0.0000 -2.3910 6.3798
Pm S Np Li
1 4 2 1
direct
0.0000 0.0000 0.0000 Pm
0.5000 0.7408 0.7450 S
0.0000 0.2561 0.7495 S
0.5000 0.2592 0.2550 S
0.0000 0.7439 0.2505 S
0.0000 0.5000 0.5000 Np
0.5000 0.0000 0.5000 Np
0.5000 0.5000 0.0000 Li
```

Output
Calculated total energy ... -7.669 eV/atom
Size of the total moment ... 8.53 μB per formula unit
Symmetry ... P2/m, No. 10
Fermi-level density of states ... 2.18 states/eV/atom
Formation energy (no corrections) ... -1.54 eV/atom



First-principles (PBE) data for crystalline LiPm3Np4S8 at its relaxed geometry, as listed in Alexandria.

Structure (POSCAR):
```
LiPm3Np4S8
1.0
-3.7919 -6.5453 -2.3609
6.2019 -4.3872 2.2018
-3.4352 4.9173 5.1834
S Np Pm Li
8 4 3 1
direct
0.7518 0.2444 0.5035 S
0.7584 0.7532 0.0058 S
0.2473 0.7532 0.0058 S
0.7527 0.2468 0.9942 S
0.2468 0.2402 0.4936 S
0.2416 0.2468 0.9942 S
0.7532 0.7598 0.5064 S
0.2482 0.7556 0.4965 S
0.5000 0.0000 0.0000 Np
0.0000 0.0000 0.0000 Np
0.0000 0.0000 0.5000 Np
0.5000 0.0000 0.5000 Np
0.0000 0.5000 0.5000 Pm
0.5000 0.5000 0.5000 Pm
0.5000 0.5000 0.0000 Pm
0.0000 0.5000 0.0000 Li
```

Output
Calculated total energy ... -7.913 eV/atom
Size of the total moment ... 8.90 μB per formula unit
Symmetry ... C2/m, No. 12
Fermi-level density of states ... 2.39 states/eV/atom
Formation energy (no corrections) ... -1.60 eV/atom



First-principles (PBE) data for crystalline LiPm3Np3S8 at its relaxed geometry, as listed in Alexandria.

Structure (POSCAR):
```
LiPm3Np3S8
1.0
-4.8875 5.6760 2.4763
1.9864 -5.8879 4.8610
5.3607 5.4871 -1.9695
S Np Pm Li
8 3 3 1
direct
0.2452 0.4883 0.7381 S
0.2523 0.5056 0.2580 S
0.7548 0.5117 0.2619 S
0.2495 0.0061 0.2618 S
0.7477 0.4944 0.7420 S
0.7505 0.9939 0.7382 S
0.2447 0.9914 0.7360 S
0.7553 0.0086 0.2640 S
0.5000 0.5000 0.5000 Np
0.0000 0.5000 0.5000 Np
0.5000 0.0000 0.5000 Np
0.5000 0.5000 0.0000 Pm
0.0000 0.0000 0.0000 Pm
0.0000 0.5000 0.0000 Pm
0.0000 0.0000 0.5000 Li
```

Output
Calculated total energy ... -7.506 eV/atom
Size of the total moment ... 4.13 μB per formula unit
Symmetry ... C2/m, No. 12
Fermi-level density of states ... 2.39 states/eV/atom
Formation energy (no corrections) ... -1.64 eV/atom



First-principles (PBE) data for crystalline Li3Pm3NpS8 at its relaxed geometry, as listed in Alexandria.

Structure (POSCAR):
```
Li3Pm3NpS8
1.0
-3.5521 -0.4179 -7.2582
-0.1002 -6.4151 4.9286
-4.0286 6.3988 1.6035
S Li Pm Np
8 3 3 1
direct
0.7591 0.5182 0.2551 S
0.7515 0.5031 0.7545 S
0.7632 0.0041 0.7449 S
0.2409 0.0041 0.7449 S
0.2368 0.9959 0.2551 S
0.7591 0.9959 0.2551 S
0.2409 0.4818 0.7449 S
0.2485 0.4969 0.2455 S
0.5000 0.5000 0.0000 Li
0.0000 0.5000 0.0000 Li
0.0000 0.0000 0.0000 Li
0.5000 0.5000 0.5000 Pm
0.5000 0.0000 0.5000 Pm
0.0000 0.5000 0.5000 Pm
0.0000 0.0000 0.5000 Np
```

Output
Calculated total energy ... -6.074 eV/atom
Size of the total moment ... 3.00 μB per formula unit
Symmetry ... R-3m, No. 166
Fermi-level density of states ... 0.37 states/eV/atom
Formation energy (no corrections) ... -1.68 eV/atom



First-principles (PBE) data for crystalline LiPm2NpSe4 at its relaxed geometry, as listed in Alexandria.

Structure (POSCAR):
```
LiPm2NpSe4
1.0
4.1388 0.0000 0.0000
0.0000 7.1483 -0.1218
0.0000 2.5329 6.6996
Se Pm Li Np
4 2 1 1
direct
0.5000 0.2607 0.7513 Se
0.5000 0.7393 0.2487 Se
0.0000 0.2618 0.2408 Se
0.0000 0.7382 0.7592 Se
0.5000 0.0000 0.5000 Pm
0.0000 0.0000 0.0000 Pm
0.5000 0.5000 0.0000 Li
0.0000 0.5000 0.5000 Np
```

Output
Calculated total energy ... -6.339 eV/atom
Size of the total moment ... 4.49 μB per formula unit
Symmetry ... P2/m, No. 10
Fermi-level density of states ... 1.65 states/eV/atom
Formation energy (no corrections) ... -1.55 eV/atom



First-principles (PBE) data for crystalline Li2PmNpSe4 at its relaxed geometry, as listed in Alexandria.

Structure (POSCAR):
```
Li2PmNpSe4
1.0
4.1441 0.0000 0.0000
0.0000 7.1886 0.1112
0.0000 -2.5073 6.4616
Pm Se Np Li
1 4 1 2
direct
0.5000 0.5000 0.0000 Pm
0.5000 0.2482 0.2556 Se
0.5000 0.7518 0.7444 Se
0.0000 0.7559 0.2594 Se
0.0000 0.2441 0.7406 Se
0.0000 0.0000 0.0000 Np
0.0000 0.5000 0.5000 Li
0.5000 0.0000 0.5000 Li
```

Output
Calculated total energy ... -5.855 eV/atom
Size of the total moment ... 4.00 μB per formula unit
Symmetry ... P2/m, No. 10
Fermi-level density of states ... 1.04 states/eV/atom
Formation energy (no corrections) ... -1.42 eV/atom



First-principles (PBE) data for crystalline Li3PmNp2Se6 at its relaxed geometry, as listed in Alexandria.

Structure (POSCAR):
```
Li3PmNp2Se6
1.0
-2.0415 -0.6182 -6.8170
6.4673 -2.2706 2.0100
-3.9340 -4.9116 2.8727
Li Pm Se Np
3 1 6 2
direct
0.5000 0.5000 0.5000 Li
0.8338 0.1662 0.5000 Li
0.1662 0.8338 0.5000 Li
0.0000 0.0000 0.0000 Pm
0.2527 0.2527 0.7414 Se
0.0857 0.4248 0.2566 Se
0.9143 0.5752 0.7434 Se
0.5752 0.9143 0.7434 Se
0.4248 0.0857 0.2566 Se
0.7473 0.7473 0.2586 Se
0.6666 0.3334 0.0000 Np
0.3334 0.6666 0.0000 Np
```

Output
Calculated total energy ... -6.118 eV/atom
Size of the total moment ... 8.00 μB per formula unit
Symmetry ... C2/m, No. 12
Fermi-level density of states ... 1.84 states/eV/atom
Formation energy (no corrections) ... -1.34 eV/atom



First-principles (PBE) data for crystalline Li2Pm3NpSe6 at its relaxed geometry, as listed in Alexandria.

Structure (POSCAR):
```
Li2Pm3NpSe6
1.0
-2.5144 2.7325 -1.8450
-3.6983 1.4572 7.1982
7.8947 4.6973 0.8570
Se Pm Li Np
6 3 2 1
direct
0.3341 0.9088 0.6681 Se
0.0037 0.2476 0.0074 Se
0.3313 0.4235 0.6627 Se
0.9963 0.7524 0.9926 Se
0.6659 0.0912 0.3319 Se
0.6687 0.5765 0.3373 Se
0.5000 0.5000 0.0000 Pm
0.1671 0.8311 0.3342 Pm
0.8329 0.1689 0.6658 Pm
0.8235 0.6461 0.6469 Li
0.1765 0.3539 0.3531 Li
0.5000 0.0000 0.0000 Np
```

Output
Calculated total energy ... -5.915 eV/atom
Size of the total moment ... 4.61 μB per formula unit
Symmetry ... C2/m, No. 12
Fermi-level density of states ... 1.16 states/eV/atom
Formation energy (no corrections) ... -1.59 eV/atom



First-principles (PBE) data for crystalline LiPmNpSe3 at its relaxed geometry, as listed in Alexandria.

Structure (POSCAR):
```
LiPmNpSe3
1.0
4.0232 0.0000 0.0000
0.0000 8.4732 0.1230
0.0000 -2.1106 8.6404
Li Se Pm Np
2 6 2 2
direct
0.7500 0.9129 0.4170 Li
0.2500 0.0871 0.5830 Li
0.2500 0.5752 0.8251 Se
0.2500 0.0927 0.8681 Se
0.7500 0.4248 0.1749 Se
0.7500 0.2210 0.4949 Se
0.7500 0.9073 0.1319 Se
0.2500 0.7790 0.5051 Se
0.2500 0.1829 0.2245 Pm
0.7500 0.8171 0.7755 Pm
0.7500 0.3349 0.8380 Np
0.2500 0.6651 0.1620 Np
```

Output
Calculated total energy ... -6.384 eV/atom
Size of the total moment ... 4.61 μB per formula unit
Symmetry ... P2_1/m, No. 11
Fermi-level density of states ... 2.13 states/eV/atom
Formation energy (no corrections) ... -1.37 eV/atom



First-principles (PBE) data for crystalline LiPm2NpTe5 at its relaxed geometry, as listed in Alexandria.

Structure (POSCAR):
```
LiPm2NpTe5
1.0
4.3957 0.0000 0.0000
-2.1979 9.3223 0.0000
0.0000 0.0000 13.2983
Pm Te Li Np
4 10 2 2
direct
0.1074 0.2147 0.6854 Pm
0.1274 0.2548 0.3021 Pm
0.8926 0.7853 0.1854 Pm
0.8726 0.7452 0.8021 Pm
0.2848 0.5695 0.6694 Te
0.7153 0.4305 0.1694 Te
0.9525 0.9050 0.5738 Te
0.6876 0.3752 0.8433 Te
0.6337 0.2674 0.4991 Te
0.3124 0.6248 0.3433 Te
0.3663 0.7326 0.9991 Te
0.5024 0.0048 0.2805 Te
0.0475 0.0950 0.0738 Te
0.4976 0.9952 0.7805 Te
0.5560 0.1119 0.9619 Li
0.4440 0.8881 0.4619 Li
0.1997 0.3994 0.0084 Np
0.8003 0.6006 0.5084 Np
```

Output
Calculated total energy ... -5.536 eV/atom
Size of the total moment ... 3.99 μB per formula unit
Symmetry ... Cmc2_1, No. 36
Fermi-level density of states ... 1.05 states/eV/atom
Formation energy (no corrections) ... -1.08 eV/atom



First-principles (PBE) data for crystalline Li3PmNp2Te6 at its relaxed geometry, as listed in Alexandria.

Structure (POSCAR):
```
Li3PmNp2Te6
1.0
-6.5786 3.8455 -0.1566
1.4959 -4.7571 5.7640
4.6978 5.5891 1.7142
Te Li Np Pm
6 3 2 1
direct
0.4235 0.0865 0.2592 Te
0.9135 0.5765 0.7408 Te
0.2504 0.2504 0.7399 Te
0.0865 0.4235 0.2592 Te
0.7496 0.7496 0.2601 Te
0.5765 0.9135 0.7408 Te
0.1652 0.8348 0.5000 Li
0.5000 0.5000 0.5000 Li
0.8348 0.1652 0.5000 Li
0.3333 0.6667 0.0000 Np
0.6667 0.3333 0.0000 Np
0.0000 0.0000 0.0000 Pm
```

Output
Calculated total energy ... -5.555 eV/atom
Size of the total moment ... 8.00 μB per formula unit
Symmetry ... C2/m, No. 12
Fermi-level density of states ... 1.78 states/eV/atom
Formation energy (no corrections) ... -0.95 eV/atom



First-principles (PBE) data for crystalline LiPmNpTe3 at its relaxed geometry, as listed in Alexandria.

Structure (POSCAR):
```
LiPmNpTe3
1.0
4.2867 0.0000 0.0000
0.0000 8.9863 0.0358
0.0000 -2.3360 9.3230
Te Li Pm Np
6 2 2 2
direct
0.2500 0.7674 0.5022 Te
0.2500 0.0884 0.8730 Te
0.7500 0.2326 0.4978 Te
0.7500 0.4262 0.1772 Te
0.2500 0.5738 0.8228 Te
0.7500 0.9116 0.1270 Te
0.7500 0.9134 0.4153 Li
0.2500 0.0866 0.5847 Li
0.2500 0.1853 0.2336 Pm
0.7500 0.8147 0.7664 Pm
0.2500 0.6685 0.1591 Np
0.7500 0.3315 0.8409 Np
```

Output
Calculated total energy ... -5.824 eV/atom
Size of the total moment ... 4.68 μB per formula unit
Symmetry ... P2_1/m, No. 11
Fermi-level density of states ... 2.24 states/eV/atom
Formation energy (no corrections) ... -0.99 eV/atom



First-principles (PBE) data for crystalline LiPm2NpTe4 at its relaxed geometry, as listed in Alexandria.

Structure (POSCAR):
```
LiPm2NpTe4
1.0
-0.2882 3.3893 -2.8034
0.6023 -4.8358 -5.9085
-7.3702 0.8935 1.8379
Np Te Li Pm
1 4 1 2
direct
0.5000 0.5000 0.0000 Np
0.5000 0.2396 0.2380 Te
0.0000 0.7528 0.2408 Te
0.5000 0.7604 0.7620 Te
0.0000 0.2472 0.7592 Te
0.0000 0.0000 0.0000 Li
0.5000 0.0000 0.5000 Pm
0.0000 0.5000 0.5000 Pm
```

Output
Calculated total energy ... -5.759 eV/atom
Size of the total moment ... 4.66 μB per formula unit
Symmetry ... P2/m, No. 10
Fermi-level density of states ... 1.77 states/eV/atom
Formation energy (no corrections) ... -1.14 eV/atom



First-principles (PBE) data for crystalline Li2PmNpTe4 at its relaxed geometry, as listed in Alexandria.

Structure (POSCAR):
```
Li2PmNpTe4
1.0
-1.4809 3.5314 2.1916
-4.0785 2.0982 -6.1370
-4.1160 -4.4636 4.4112
Te Pm Li Np
4 1 2 1
direct
0.5000 0.7494 0.7418 Te
0.5000 0.2506 0.2582 Te
0.0000 0.7555 0.2613 Te
0.0000 0.2445 0.7387 Te
0.5000 0.5000 0.0000 Pm
0.0000 0.5000 0.5000 Li
0.5000 0.0000 0.5000 Li
0.0000 0.0000 0.0000 Np
```

Output
Calculated total energy ... -5.298 eV/atom
Size of the total moment ... 4.00 μB per formula unit
Symmetry ... P2/m, No. 10
Fermi-level density of states ... 0.98 states/eV/atom
Formation energy (no corrections) ... -1.04 eV/atom



First-principles (PBE) data for crystalline LiPr2NpS4 at its relaxed geometry, as listed in Alexandria.

Structure (POSCAR):
```
LiPr2NpS4
1.0
-0.5691 1.7475 3.5708
-3.5898 -5.5261 2.1323
6.7043 -0.8369 1.4781
Li Pr S Np
1 2 4 1
direct
0.0000 0.0000 0.0000 Li
0.0000 0.5000 0.5000 Pr
0.5000 0.0000 0.5000 Pr
0.0000 0.2542 0.7673 S
0.5000 0.2421 0.2337 S
0.0000 0.7458 0.2327 S
0.5000 0.7579 0.7663 S
0.5000 0.5000 0.0000 Np
```

Output
Calculated total energy ... -6.825 eV/atom
Size of the total moment ... 4.33 μB per formula unit
Symmetry ... P2/m, No. 10
Fermi-level density of states ... 1.50 states/eV/atom
Formation energy (no corrections) ... -1.71 eV/atom